Record 1
Entry from Alexandria via LeMat-Bulk: a PBEsol-optimized structure of Sr2NbTe2 (SCAN).

a b c (Å): 7.9729 7.9729 4.6049
angles (deg): 90.00 90.00 90.00
With the nearest neighbours (Å) after each atom.
Element x y z (fractional)
Sr1 0.1556 0.3444 0.0000  6 Te 3.11-3.40
Sr2 0.3444 0.8444 0.0000  6 Te 3.11-3.40
Sr3 0.6556 0.1556 0.0000  6 Te 3.11-3.40
Sr4 0.8444 0.6556 0.0000  6 Te 3.11-3.40
Nb1 0.0000 0.0000 0.5000  4 Te 3.00
Nb2 0.5000 0.5000 0.5000  4 Te 3.00
Te1 0.1589 0.6589 0.5000  2 Nb 3.00, 2 Sr 3.11
Te2 0.3411 0.1589 0.5000  2 Nb 3.00, 2 Sr 3.11
Te3 0.6589 0.8411 0.5000  2 Nb 3.00, 2 Sr 3.11
Te4 0.8411 0.3411 0.5000  2 Nb 3.00, 2 Sr 3.11

Calculated values
Fermi-level density of states: 0.2 states/eV/f.u.
Electronic total energy: -156.185 eV/f.u.
Total magnetization: 5.981 μB per cell
E_form (uncorrected): -18.5 kcal/mol of atoms

***

Record 2
Entry from Alexandria via LeMat-Bulk: a PBEsol-optimized structure of Zr2ScGe2 (SCAN).

a b c (Å): 7.1273 7.1273 3.7352
angles (deg): 90.00 90.00 90.00
With the nearest neighbours (Å) after each atom.
Element x y z (fractional)
Zr1 0.1681 0.3319 0.0000  6 Ge 2.76-2.85
Zr2 0.3319 0.8319 0.0000  6 Ge 2.76-2.85
Zr3 0.6681 0.1681 0.0000  6 Ge 2.76-2.85
Zr4 0.8319 0.6681 0.0000  6 Ge 2.76-2.85
Sc1 0.0000 0.0000 0.5000  4 Ge 2.79
Sc2 0.5000 0.5000 0.5000  4 Ge 2.79
Ge1 0.1310 0.6310 0.5000  1 Ge 2.64, 6 Zr 2.76-2.85, 2 Sc 2.79
Ge2 0.3690 0.1310 0.5000  1 Ge 2.64, 6 Zr 2.76-2.85, 2 Sc 2.79
Ge3 0.6310 0.8690 0.5000  1 Ge 2.64, 6 Zr 2.76-2.85, 2 Sc 2.79
Ge4 0.8690 0.3690 0.5000  1 Ge 2.64, 6 Zr 2.76-2.85, 2 Sc 2.79

Calculated values
Fermi-level density of states: 3.7 states/eV/f.u.
Electronic total energy: -118.241 eV/f.u.
Total magnetization: 1.529 μB per cell
Formation enthalpy at 0 K: -0.89 eV/atom

***

Record 3
Entry from Alexandria via LeMat-Bulk: a PBEsol-optimized structure of TcAgSb2 (SCAN).

a b c (Å): 3.2830 3.2830 25.3345
angles (deg): 90.00 90.00 120.00
With the nearest neighbours (Å) after each atom.
Element x y z (fractional)
Tc1 0.0000 0.0000 0.0000  6 Sb 2.70
Tc2 0.3333 0.6667 0.6667  6 Sb 2.70
Tc3 0.6667 0.3333 0.3333  6 Sb 2.70
Ag1 0.0000 0.0000 0.5000  6 Sb 2.98, 6 Ag 3.28
Ag2 0.3333 0.6667 0.1667  6 Sb 2.98, 6 Ag 3.28
Ag3 0.6667 0.3333 0.8333  6 Sb 2.98, 6 Ag 3.28
Sb1 0.0000 0.0000 0.2575  3 Tc 2.70, 3 Ag 2.98
Sb2 0.0000 0.0000 0.7425  3 Tc 2.70, 3 Ag 2.98
Sb3 0.3333 0.6667 0.4092  3 Tc 2.70, 3 Ag 2.98
Sb4 0.3333 0.6667 0.9241  3 Tc 2.70, 3 Ag 2.98
Sb5 0.6667 0.3333 0.0759  3 Tc 2.70, 3 Ag 2.98
Sb6 0.6667 0.3333 0.5908  3 Tc 2.70, 3 Ag 2.98

Calculated values
Fermi-level density of states: 1.9 states/eV/f.u.
Electronic total energy: -140.399 eV/f.u.
Total magnetization: 0.000 μB per cell
E_form (uncorrected): 3.2 kcal/mol of atoms

***

Record 4
Entry from Alexandria via LeMat-Bulk: a PBEsol-optimized structure of Sr2P (SCAN).

a b c (Å): 4.1740 13.3650 7.0501
angles (deg): 90.00 90.00 90.00
With the nearest neighbours (Å) after each atom.
Element x y z (fractional)
Sr1 0.0000 0.0046 0.0000  4 P 3.09-3.16
Sr2 0.0000 0.2690 0.8235  3 P 3.02-3.29
Sr3 0.0000 0.7310 0.3235  3 P 3.02-3.29
Sr4 0.0000 0.9954 0.5000  4 P 3.09-3.16
Sr5 0.5000 0.2310 0.3235  3 P 3.02-3.29
Sr6 0.5000 0.4954 0.5000  4 P 3.09-3.16
Sr7 0.5000 0.5046 0.0000  4 P 3.09-3.16
Sr8 0.5000 0.7690 0.8235  3 P 3.02-3.29
P1 0.0000 0.3867 0.2331  7 Sr 3.02-3.29
P2 0.0000 0.6133 0.7331  7 Sr 3.02-3.29
P3 0.5000 0.1133 0.7331  7 Sr 3.02-3.29
P4 0.5000 0.8867 0.2331  7 Sr 3.02-3.29

Calculated values
Fermi-level density of states: 0.8 states/eV/f.u.
Electronic total energy: -57.792 eV/f.u.
Total magnetization: 3.412 μB per cell
Formation enthalpy at 0 K: -0.95 eV/atom

***

Record 5
Entry from Alexandria via LeMat-Bulk: a PBEsol-optimized structure of LaMgI5 (SCAN).

a b c (Å): 17.1253 4.2807 14.8149
angles (deg): 90.00 90.00 90.00
With the nearest neighbours (Å) after each atom.
Element x y z (fractional)
La1 0.1637 0.2500 0.2384  8 I 3.12-3.43
La2 0.3363 0.7500 0.7384  8 I 3.12-3.43
La3 0.6637 0.2500 0.2616  8 I 3.12-3.43
La4 0.8363 0.7500 0.7616  8 I 3.12-3.43
Mg1 0.0857 0.2500 0.7497  6 I 2.90-2.92
Mg2 0.4143 0.7500 0.2497  6 I 2.90-2.92
Mg3 0.5857 0.2500 0.7503  6 I 2.90-2.92
Mg4 0.9143 0.7500 0.2503  6 I 2.90-2.92
I1 0.0176 0.7500 0.8573  2 Mg 2.91
I2 0.0573 0.7500 0.3548  1 Mg 2.90
I3 0.1540 0.7500 0.6419  2 Mg 2.92
I4 0.1641 0.7500 0.0851  2 La 3.12
I5 0.2295 0.2500 0.8534  1 Mg 2.90
I6 0.2705 0.7500 0.3534  1 Mg 2.90
I7 0.3359 0.2500 0.5851  2 La 3.12
I8 0.3460 0.2500 0.1419  2 Mg 2.92
I9 0.4427 0.2500 0.8548  1 Mg 2.90
I10 0.4824 0.2500 0.3573  2 Mg 2.91
I11 0.5176 0.7500 0.6427  2 Mg 2.91
I12 0.5573 0.7500 0.1452  1 Mg 2.90
I13 0.6540 0.7500 0.8581  2 Mg 2.92
I14 0.6641 0.7500 0.4149  2 La 3.12
I15 0.7295 0.2500 0.6466  1 Mg 2.90
I16 0.7705 0.7500 0.1466  1 Mg 2.90
I17 0.8359 0.2500 0.9149  2 La 3.12
I18 0.8460 0.2500 0.3581  2 Mg 2.92
I19 0.9427 0.2500 0.6452  1 Mg 2.90
I20 0.9824 0.2500 0.1427  2 Mg 2.91

Calculated values
Fermi-level density of states: 0.0 states/eV/f.u.
Electronic total energy: -241.873 eV/f.u.
Total magnetization: 0.000 μB per cell
Relative energy among the computed polymorphs: 4 meV/atom
E_form (uncorrected): -33.2 kcal/mol of atoms

***

Record 6
Entry from Alexandria via LeMat-Bulk: a PBEsol-optimized structure of AsP2Ru (SCAN).

a b c (Å): 2.9984 2.9984 6.6922
angles (deg): 90.00 90.00 90.00
With the nearest neighbours (Å) after each atom.
Element x y z (fractional)
As1 0.0000 0.0000 0.0000  4 Ru 2.62
P1 0.0000 0.0000 0.5446  4 P 2.36, 4 Ru 2.60
P2 0.5000 0.5000 0.3892  4 P 2.36, 1 Ru 2.55
Ru1 0.5000 0.5000 0.7701  5 P 2.55-2.60, 4 As 2.62

Calculated values
Fermi-level density of states: 1.8 states/eV/f.u.
Electronic total energy: -75.252 eV/f.u.
Total magnetization: 0.000 μB per cell
Formation enthalpy at 0 K: 0.14 eV/atom

***

Record 7
Entry from Alexandria via LeMat-Bulk: a PBEsol-optimized structure of NbTeI2O (SCAN).

a b c (Å): 5.4929 5.4929 5.2962
angles (deg): 90.00 90.00 90.00
With the nearest neighbours (Å) after each atom.
Element x y z (fractional)
Nb1 0.0000 0.0000 0.0000  2 Te 2.65, 4 I 2.75
Te1 0.0000 0.0000 0.5000  2 Nb 2.65
I1 0.0000 0.5000 0.0000  2 Nb 2.75
I2 0.5000 0.0000 0.0000  2 Nb 2.75
O1 0.5000 0.5000 0.5000  8 I 3.82, 4 Te 3.88

Calculated values
Fermi-level density of states: 3.9 states/eV/f.u.
Electronic total energy: -147.733 eV/f.u.
Total magnetization: 1.550 μB per cell
E_form (uncorrected): 10.9 kcal/mol of atoms

***

Record 8
Entry from Alexandria via LeMat-Bulk: a PBEsol-optimized structure of Re3CO (SCAN).

a b c (Å): 4.0042 4.0042 4.0042
angles (deg): 90.00 90.00 90.00
With the nearest neighbours (Å) after each atom.
Element x y z (fractional)
Re1 0.0000 0.0000 0.5000  2 C 2.00
Re2 0.0000 0.5000 0.0000  2 C 2.00
Re3 0.5000 0.0000 0.0000  2 C 2.00
C1 0.0000 0.0000 0.0000  6 Re 2.00
O1 0.5000 0.5000 0.5000  12 Re 2.83

Calculated values
Fermi-level density of states: 3.1 states/eV/f.u.
Electronic total energy: -223.039 eV/f.u.
Total magnetization: 1.407 μB per cell
E_form (uncorrected): 30.4 kcal/mol of atoms

***

Record 9
Entry from Alexandria via LeMat-Bulk: a PBEsol-optimized structure of BeAlB3 (SCAN).

a b c (Å): 4.0567 4.0567 4.0567
angles (deg): 90.00 90.00 90.00
With the nearest neighbours (Å) after each atom.
Element x y z (fractional)
Be1 0.0000 0.0000 0.0000  12 B 2.87
Al1 0.5000 0.5000 0.5000  6 B 2.03
B1 0.0000 0.5000 0.5000  2 Al 2.03
B2 0.5000 0.0000 0.5000  2 Al 2.03
B3 0.5000 0.5000 0.0000  2 Al 2.03

Calculated values
Fermi-level density of states: 2.1 states/eV/f.u.
Electronic total energy: -23.749 eV/f.u.
Total magnetization: 0.001 μB per cell
Relative energy among the computed polymorphs: 660 meV/atom
Formation enthalpy at 0 K: 2.13 eV/atom

***

Record 10
Entry from Alexandria via LeMat-Bulk: a PBEsol-optimized structure of Al5Ni (SCAN).

a b c (Å): 4.7471 4.7471 4.5132
angles (deg): 90.00 90.00 120.00
With the nearest neighbours (Å) after each atom.
Element x y z (fractional)
Al1 0.0000 0.6783 0.0000  10 Al 2.65-2.79, 2 Ni 2.72
Al2 0.3217 0.3217 0.0000  10 Al 2.65-2.79, 2 Ni 2.72
Al3 0.3333 0.6667 0.5000  3 Ni 2.74, 9 Al 2.74-2.77
Al4 0.6667 0.3333 0.5000  3 Ni 2.74, 9 Al 2.74-2.77
Al5 0.6783 0.0000 0.0000  10 Al 2.65-2.79, 2 Ni 2.72
Ni1 0.0000 0.0000 0.5000  12 Al 2.72-2.74

Calculated values
Fermi-level density of states: 2.5 states/eV/f.u.
Electronic total energy: -55.576 eV/f.u.
Total magnetization: 0.000 μB per cell
Formation enthalpy at 0 K: -0.11 eV/atom